{
  "formula": "SrPt2W",
  "functional": "PBE-GGA",
  "state": "relaxed",
  "lattice": [[1.482, 0.856, 9.760], [-1.482, 0.856, 9.760], [0.000, -1.712, 9.760]],
  "species": ["Sr", "Pt", "Pt", "W"],
  "fractional_positions": [[0.000, 0.000, 0.000], [0.241, 0.241, 0.241], [0.759, 0.759, 0.759], [0.500, 0.500, 0.500]],
  "n_ef_per_ev_atom": 1.430,
  "ef_ev_per_atom": 0.31,
  "sg": "R-3m"
}